A relaxed BaLaCo crystal, computed with PBE.

```
BaLaCo
1.0
7.177 0.000 0.000
0.000 7.177 0.000
0.000 0.000 7.177
Ba La Co
4 4 4
Cartesian
0.000 0.000 0.000 Ba
0.000 3.588 3.588 Ba
3.588 0.000 3.588 Ba
3.588 3.588 0.000 Ba
0.000 0.000 3.588 La
0.000 3.588 0.000 La
3.588 0.000 0.000 La
3.588 3.588 3.588 La
1.794 1.794 1.794 Co
1.794 5.383 5.383 Co
5.383 1.794 5.383 Co
5.383 5.383 1.794 Co
```

The energy above the most stable polymorph in this dataset is 0 meV per atom. The value obtained for the total energy is -0.319 Ry/atom. The space-group type is No. 216. For the spin magnetization, the calculation gives 0.0 μB/f.u.